Record 1
A relaxed NaBiMo2O8 crystal, computed with GGA-PBEsol.

Properties
Calculated total energy ... -7.8510 eV per atom
Raw formation energy ... -1.92 eV/atom
Magnetization ... 0.000 μB per atom
Symmetry ... I-4, No. 82

Unit cell a=6.791 b=6.791 c=6.791 alpha=134.62 beta=134.62 gamma=66.12
Sites, in units of the cell vectors:
1 Na 0.000 0.000 0.000
2 Bi 0.250 0.750 0.500
3 Mo 0.500 0.500 0.000
4 Mo 0.750 0.250 0.500
5 O 0.265 0.652 0.091
6 O 0.348 0.440 0.613
7 O 0.426 0.011 0.103
8 O 0.560 0.174 0.909
9 O 0.677 0.574 0.585
10 O 0.826 0.735 0.387
11 O 0.908 0.323 0.897
12 O 0.989 0.092 0.415

---

Record 2
A relaxed TaCd2SnC crystal, computed with GGA-PBEsol.

Properties
Calculated total energy ... -4.6551 eV per atom
Magnetization ... 0.000 μB per atom
Symmetry ... P4/mmm, No. 123

Unit cell a=5.443 b=5.443 c=3.991 alpha=90.00 beta=90.00 gamma=90.00
Sites, in units of the cell vectors:
1 Ta 0.000 0.000 0.000
2 Cd 0.000 0.500 0.000
3 Cd 0.500 0.000 0.000
4 Sn 0.500 0.500 0.500
5 C 0.000 0.000 0.500

---

Record 3
A relaxed CuSbSe2 crystal, computed with GGA-PBEsol.

Properties
Calculated total energy ... -4.1328 eV per atom
Raw formation energy ... 0.02 eV/atom
Magnetization ... 0.000 μB per atom
Symmetry ... R-3m, No. 166

Unit cell a=8.550 b=8.550 c=8.550 alpha=23.64 beta=23.64 gamma=23.64
Sites, in units of the cell vectors:
1 Cu 0.000 0.000 0.000
2 Sb 0.500 0.500 0.500
3 Se 0.388 0.388 0.388
4 Se 0.612 0.612 0.612

---

Record 4
A relaxed InNiN3 crystal, computed with GGA-PBEsol.

Properties
Calculated total energy ... -5.6727 eV per atom
Raw formation energy ... 1.27 eV/atom
Magnetization ... 0.592 μB per atom
Symmetry ... Pm-3m, No. 221

Unit cell a=3.755 b=3.755 c=3.755 alpha=90.00 beta=90.00 gamma=90.00
Sites, in units of the cell vectors:
1 In 0.000 0.000 0.000
2 Ni 0.500 0.500 0.500
3 N 0.000 0.500 0.500
4 N 0.500 0.000 0.500
5 N 0.500 0.500 0.000

---

Record 5
A relaxed MnAsCl2 crystal, computed with GGA-PBEsol.

Properties
Distance to the lowest polymorph of the same formula ... 0.0 kJ/mol of formula units
Calculated total energy ... -4.9785 eV per atom
Raw formation energy ... -0.26 eV/atom
Magnetization ... 1.002 μB per atom
Symmetry ... C2/m, No. 12

Unit cell a=6.838 b=6.838 c=4.235 alpha=96.73 beta=96.73 gamma=27.33
Sites, in units of the cell vectors:
1 Mn 0.000 0.000 0.000
2 As 0.500 0.500 0.500
3 Cl 0.352 0.352 0.799
4 Cl 0.648 0.648 0.201

---

Record 6
A relaxed ThGaIr crystal, computed with GGA-PBEsol.

Properties
Calculated total energy ... -8.0024 eV per atom
Magnetization ... 0.000 μB per atom
Symmetry ... P-62m, No. 189

Unit cell a=7.145 b=7.145 c=4.076 alpha=90.00 beta=90.00 gamma=120.00
Sites, in units of the cell vectors:
1 Th 0.000 0.415 0.000
2 Th 0.415 0.000 0.000
3 Th 0.585 0.585 0.000
4 Ga 0.000 0.765 0.500
5 Ga 0.235 0.235 0.500
6 Ga 0.765 0.000 0.500
7 Ir 0.000 0.000 0.000
8 Ir 0.333 0.667 0.500
9 Ir 0.667 0.333 0.500

---

Record 7
A relaxed LiSnB crystal, computed with GGA-PBEsol.

Properties
Calculated total energy ... -4.3596 eV per atom
Magnetization ... 0.000 μB per atom
Symmetry ... F-43m, No. 216

Unit cell a=3.898 b=3.898 c=3.898 alpha=60.00 beta=60.00 gamma=60.00
Sites, in units of the cell vectors:
1 Li 0.000 0.000 0.000
2 Sn 0.500 0.500 0.500
3 B 0.250 0.250 0.250

---

Record 8
A relaxed Sb5Au crystal, computed with GGA-PBEsol.

Properties
Distance to the lowest polymorph of the same formula ... 177.5 kJ/mol of formula units
Calculated total energy ... -3.9427 eV per atom
Raw formation energy ... 0.51 eV/atom
Magnetization ... 0.000 μB per atom
Symmetry ... F-43m, No. 216

Unit cell a=6.087 b=6.087 c=6.087 alpha=60.00 beta=60.00 gamma=60.00
Sites, in units of the cell vectors:
1 Sb 0.000 0.000 0.000
2 Sb 0.376 0.376 0.376
3 Sb 0.376 0.376 0.873
4 Sb 0.376 0.873 0.376
5 Sb 0.873 0.376 0.376
6 Au 0.750 0.750 0.750

---

Record 9
A relaxed Mg2ScFeC crystal, computed with GGA-PBEsol.

Properties
Calculated total energy ... -5.4572 eV per atom
Magnetization ... 0.002 μB per atom
Symmetry ... P4/mmm, No. 123

Unit cell a=4.425 b=4.425 c=3.780 alpha=90.00 beta=90.00 gamma=90.00
Sites, in units of the cell vectors:
1 Mg 0.000 0.500 0.000
2 Mg 0.500 0.000 0.000
3 Sc 0.000 0.000 0.500
4 Fe 0.500 0.500 0.500
5 C 0.500 0.500 0.000

---

Record 10
A relaxed ZrSi2Br crystal, computed with GGA-PBEsol.

Properties
Distance to the lowest polymorph of the same formula ... 71.2 kJ/mol of formula units
Calculated total energy ... -5.7708 eV per atom
Raw formation energy ... -0.16 eV/atom
Magnetization ... 0.000 μB per atom
Symmetry ... P4/mmm, No. 123

Unit cell a=3.742 b=3.742 c=5.306 alpha=90.00 beta=90.00 gamma=90.00
Sites, in units of the cell vectors:
1 Zr 0.000 0.000 0.000
2 Si 0.500 0.500 0.227
3 Si 0.500 0.500 0.773
4 Br 0.000 0.000 0.500

---

Record 11
A relaxed Si2Ni2Au crystal, computed with GGA-PBEsol.

Properties
Calculated total energy ... -5.8016 eV per atom
Raw formation energy ... -0.26 eV/atom
Magnetization ... 0.000 μB per atom
Symmetry ... I4/mmm, No. 139

Unit cell a=5.896 b=5.896 c=5.896 alpha=145.50 beta=145.50 gamma=49.59
Sites, in units of the cell vectors:
1 Si 0.250 0.750 0.500
2 Si 0.750 0.250 0.500
3 Ni 0.114 0.114 0.000
4 Ni 0.886 0.886 0.000
5 Au 0.500 0.500 0.000

---

Record 12
A relaxed BeReN2F crystal, computed with GGA-PBEsol.

Properties
Calculated total energy ... -6.9725 eV per atom
Raw formation energy ... 0.29 eV/atom
Magnetization ... 0.001 μB per atom
Symmetry ... P4/mmm, No. 123

Unit cell a=3.718 b=3.718 c=2.905 alpha=90.00 beta=90.00 gamma=90.00
Sites, in units of the cell vectors:
1 Be 0.000 0.000 0.000
2 Re 0.500 0.500 0.500
3 N 0.000 0.500 0.000
4 N 0.500 0.000 0.000
5 F 0.000 0.000 0.500